# K4Cr5 GGA-PBE relaxed
data_K4Cr5
_symmetry_space_group_name_H-M 'P 1'
_symmetry_Int_Tables_number 1
_cell_length_a 10.051
_cell_length_b 10.051
_cell_length_c 6.834
_cell_angle_alpha 90.00
_cell_angle_beta 90.00
_cell_angle_gamma 120.00
loop_
_symmetry_equiv_pos_as_xyz
'x,y,z'
loop_
_atom_site_label
_atom_site_type_symbol
_atom_site_fract_x
_atom_site_fract_y
_atom_site_fract_z
K1 K 0.000 0.675 0.750
K2 K 0.675 0.675 0.250
Cr1 Cr 0.000 0.368 0.750
Cr2 Cr 0.368 0.000 0.750
Cr3 Cr 0.368 0.368 0.250
K3 K 0.000 0.325 0.250
Cr4 Cr 0.667 0.333 0.000
K4 K 0.000 0.000 0.500
Cr5 Cr 0.333 0.667 0.000
K5 K 0.675 0.000 0.750
Cr6 Cr 0.632 0.000 0.250
Cr7 Cr 0.632 0.632 0.750
K6 K 0.000 0.000 0.000
Cr8 Cr 0.333 0.667 0.500
Cr9 Cr 0.000 0.632 0.250
K7 K 0.325 0.325 0.750
K8 K 0.325 0.000 0.250
Cr10 Cr 0.667 0.333 0.500
# Electronic total energy = -79.47 eV for the cell shown
# M_tot = 24.94 μB/f.u.
# DFT formation energy = 1.419 eV/atom